Here is an optimized crystal structure of BeFeHg2 from Alexandria via LeMat-Bulk. Energies are from GGA-PBEsol.

Summary:
- ΔH_f (0 K) (eV per atom) = 0.515
- volume (Å³/atom) = 15.7

abc: 8.459 8.459 8.459
angles: 20.17 20.17 20.17
Positions (direct):
Be 0.000 0.000 0.000
Fe 0.500 0.500 0.500
Hg 0.255 0.255 0.255
Hg 0.745 0.745 0.745